Below is a relaxed structure of Na2GaTcHg, with properties calculated at the PBE-GGA level.

E_form (eV/atom): 0.94

Cell: 5.4096 5.4096 5.2726 Å, 90.00 90.00 90.00°
Space group P4/mmm (No. 123)
Inequivalent atoms, fractional coordinates:
Na: 0.0000 0.5000 0.0000 [2 per cell]
Ga: 0.0000 0.0000 0.5000 [1 per cell]
Tc: 0.5000 0.5000 0.5000 [1 per cell]
Hg: 0.5000 0.5000 0.0000 [1 per cell]